Record 1
# Ba3Mo

A relaxed Ba3Mo crystal (PBE, Alexandria).

Structure (POSCAR):
```
Ba3Mo
1.0
-3.710 -2.474 -3.355
-3.339 -0.926 4.374
-2.497 4.918 -0.865
Ba Mo
3 1
Direct
0.500 0.500 0.000 Ba
0.000 0.000 0.000 Ba
0.500 0.000 0.500 Ba
0.000 0.500 0.500 Mo
```

* distance to the lowest polymorph of the same formula: 61 kJ/mol of formula units
* energy of formation from the pure elements: 356.9 kJ/mol of formula units
* symmetry: Pm-3m (221)

=====

Record 2
# Be2AlAg

A relaxed Be2AlAg crystal (PBE, Alexandria).

Structure (POSCAR):
```
Be2AlAg
1.0
-0.673 -2.400 1.761
-0.811 -1.591 -2.475
5.045 -1.786 -0.506
Be Ag Al
2 1 1
Direct
0.000 0.000 0.982 Be
0.000 0.000 0.518 Be
0.500 0.500 0.250 Ag
0.500 0.500 0.750 Al
```

* energy of formation from the pure elements: 64.3 kJ/mol of formula units
* symmetry: P4/mmm (123)

=====

Record 3
# Nd2DyY5

A relaxed Nd2DyY5 crystal (PBE, Alexandria).

Structure (POSCAR):
```
Nd2DyY5
1.0
12.487 -3.778 4.382
-4.876 12.100 4.382
3.516 3.845 8.018
Y Nd Dy
10 4 2
Direct
0.136 0.263 0.081 Y
0.797 0.422 0.924 Y
0.762 0.634 0.584 Y
0.263 0.136 0.581 Y
0.013 0.884 0.583 Y
0.884 0.013 0.083 Y
0.422 0.797 0.424 Y
0.930 0.304 0.411 Y
0.634 0.762 0.084 Y
0.304 0.930 0.911 Y
0.552 0.181 0.913 Nd
0.512 0.384 0.583 Nd
0.384 0.512 0.083 Nd
0.181 0.552 0.413 Nd
0.046 0.678 0.920 Dy
0.678 0.047 0.420 Dy
```

* distance to the lowest polymorph of the same formula: 15 kJ/mol of formula units
* energy of formation from the pure elements: 31.0 kJ/mol of formula units
* symmetry: Cc (9)

=====

Record 4
# Pm3SmSi

A relaxed Pm3SmSi crystal (PBE, Alexandria).

Structure (POSCAR):
```
Pm3SmSi
1.0
-5.487 -3.812 -0.159
2.829 -3.731 -8.178
4.741 -7.026 4.846
Sm Pm Si
4 12 4
Direct
0.731 0.875 0.750 Sm
0.231 0.625 0.750 Sm
0.769 0.375 0.250 Sm
0.269 0.125 0.250 Sm
0.247 0.002 0.750 Pm
0.747 0.498 0.750 Pm
0.125 0.814 0.441 Pm
0.375 0.314 0.941 Pm
0.875 0.186 0.559 Pm
0.753 0.998 0.250 Pm
0.125 0.814 0.059 Pm
0.625 0.686 0.441 Pm
0.253 0.502 0.250 Pm
0.875 0.186 0.941 Pm
0.625 0.686 0.059 Pm
0.375 0.314 0.559 Pm
0.000 0.500 0.000 Si
0.500 0.000 0.500 Si
0.000 0.500 0.500 Si
0.500 0.000 0.000 Si
```

* symmetry: Pnma (62)
* formation energy (no corrections): -0.190 eV per atom

=====

Record 5
# Li2MgCd

A relaxed Li2MgCd crystal (PBE, Alexandria).

Structure (POSCAR):
```
Li2MgCd
1.0
-1.526 -2.886 3.345
2.662 -3.388 -1.812
2.634 0.976 2.044
Cd Mg Li
1 1 2
Direct
0.000 0.500 0.500 Cd
0.500 0.000 0.500 Mg
0.000 0.000 0.000 Li
0.500 0.500 0.000 Li
```

* distance to the lowest polymorph of the same formula: 5 kJ/mol of formula units
* energy of formation from the pure elements: -63.2 kJ/mol of formula units
* symmetry: Cmmm (65)

=====

Record 6
# La2PmYS4

A relaxed La2PmYS4 crystal (PBE, Alexandria).

Structure (POSCAR):
```
La2PmYS4
1.0
-1.844 -3.157 -1.700
4.923 -4.290 2.626
-5.303 0.582 4.670
Pm Y La S
1 1 2 4
Direct
0.500 0.500 0.000 Pm
0.000 0.000 0.000 Y
0.500 0.000 0.500 La
0.000 0.500 0.500 La
0.500 0.761 0.766 S
0.000 0.751 0.238 S
0.000 0.249 0.762 S
0.500 0.239 0.234 S
```

* symmetry: P2/m (10)
* formation energy (no corrections): -2.094 eV per atom

=====

Record 7
# Ba2HfBO6

A relaxed Ba2HfBO6 crystal (PBE, Alexandria).

Structure (POSCAR):
```
Ba2HfBO6
1.0
4.967 0.000 0.000
0.000 5.894 0.000
0.000 -2.947 5.104
O Hf Ba B
6 1 2 1
Direct
0.207 0.286 0.143 O
0.793 0.143 0.857 O
0.793 0.714 0.857 O
0.207 0.857 0.714 O
0.207 0.857 0.143 O
0.793 0.143 0.286 O
0.500 0.000 0.000 Hf
0.178 0.333 0.667 Ba
0.822 0.667 0.333 Ba
0.000 0.000 0.000 B
```

* symmetry: P-3m1 (164)
* formation energy (no corrections): -2.310 eV per atom

=====

Record 8
# Hf5Pa3Ga12

A relaxed Hf5Pa3Ga12 crystal (PBE, Alexandria).

Structure (POSCAR):
```
Hf5Pa3Ga12
1.0
13.920 0.000 0.000
-4.640 13.124 0.000
-4.640 -6.562 11.365
Ga Hf Pa
48 20 12
Direct
0.921 0.840 0.565 Ga
0.565 0.225 0.144 Ga
0.581 0.725 0.660 Ga
0.644 0.065 0.225 Ga
0.225 0.565 0.644 Ga
0.079 0.160 0.435 Ga
0.919 0.840 0.775 Ga
0.421 0.065 0.340 Ga
0.160 0.079 0.935 Ga
0.340 0.565 0.421 Ga
0.144 0.419 0.079 Ga
0.856 0.581 0.921 Ga
0.419 0.275 0.340 Ga
0.565 0.340 0.921 Ga
0.921 0.081 0.856 Ga
0.775 0.340 0.919 Ga
0.275 0.419 0.840 Ga
0.340 0.775 0.419 Ga
0.081 0.921 0.356 Ga
0.840 0.921 0.065 Ga
0.356 0.935 0.775 Ga
0.356 0.421 0.081 Ga
0.081 0.160 0.225 Ga
0.775 0.435 0.356 Ga
0.275 0.856 0.935 Ga
0.225 0.660 0.081 Ga
0.644 0.579 0.919 Ga
0.660 0.435 0.579 Ga
0.660 0.225 0.581 Ga
0.579 0.644 0.419 Ga
0.579 0.935 0.660 Ga
0.065 0.421 0.840 Ga
0.725 0.144 0.065 Ga
0.581 0.856 0.421 Ga
0.935 0.579 0.160 Ga
0.435 0.660 0.079 Ga
0.725 0.581 0.160 Ga
0.935 0.356 0.275 Ga
0.421 0.356 0.581 Ga
0.065 0.644 0.725 Ga
0.856 0.275 0.435 Ga
0.419 0.144 0.579 Ga
0.840 0.919 0.275 Ga
0.160 0.081 0.725 Ga
0.435 0.775 0.856 Ga
0.144 0.725 0.565 Ga
0.919 0.079 0.644 Ga
0.079 0.919 0.144 Ga
0.500 0.500 0.500 Hf
0.500 0.000 0.500 Hf
0.875 0.625 0.750 Hf
0.000 0.000 0.000 Hf
0.750 0.125 0.875 Hf
0.500 0.000 0.000 Hf
0.875 0.250 0.625 Hf
0.000 0.000 0.500 Hf
0.250 0.875 0.125 Hf
0.375 0.125 0.750 Hf
0.125 0.375 0.250 Hf
0.375 0.250 0.125 Hf
0.000 0.500 0.500 Hf
0.625 0.750 0.875 Hf
0.250 0.375 0.625 Hf
0.125 0.750 0.375 Hf
0.000 0.500 0.000 Hf
0.750 0.625 0.375 Hf
0.500 0.500 0.000 Hf
0.625 0.875 0.250 Hf
0.375 0.625 0.250 Pa
0.750 0.875 0.625 Pa
0.125 0.875 0.750 Pa
0.375 0.750 0.625 Pa
0.625 0.250 0.375 Pa
0.625 0.375 0.750 Pa
0.250 0.125 0.375 Pa
0.250 0.625 0.875 Pa
0.875 0.750 0.125 Pa
0.875 0.125 0.250 Pa
0.750 0.375 0.125 Pa
0.125 0.250 0.875 Pa
```

* energy of formation from the pure elements: 1047.5 kJ/mol of formula units
* symmetry: Ia-3d (230)

=====

Record 9
# LiDyInAu

A relaxed LiDyInAu crystal (PBE, Alexandria).

Structure (POSCAR):
```
LiDyInAu
1.0
4.850 0.000 0.000
2.425 4.200 0.000
2.425 1.400 3.960
In Au Li Dy
1 1 1 1
Direct
0.250 0.250 0.250 In
0.000 0.000 0.000 Au
0.500 0.500 0.500 Li
0.750 0.750 0.750 Dy
```

* energy of formation from the pure elements: -242.2 kJ/mol of formula units
* symmetry: F-43m (216)

=====

Record 10
# Be2TlRuW

A relaxed Be2TlRuW crystal (PBE, Alexandria).

Structure (POSCAR):
```
Be2TlRuW
1.0
4.227 0.000 0.000
0.000 5.139 0.000
0.000 0.000 4.227
W Ru Be Tl
1 1 2 1
Direct
0.500 0.500 0.500 W
0.000 0.500 0.000 Ru
0.000 0.000 0.500 Be
0.500 0.000 0.000 Be
0.000 0.000 0.000 Tl
```

* energy of formation from the pure elements: 998.6 kJ/mol of formula units
* symmetry: P4/mmm (123)

=====

Record 11
# ReW3

A relaxed ReW3 crystal (PBE, Alexandria).

Structure (POSCAR):
```
ReW3
1.0
-4.916 -0.034 -2.434
-1.611 -5.177 -0.833
-1.987 -0.028 4.015
Re W
2 6
Direct
0.377 0.377 0.250 Re
0.623 0.623 0.750 Re
0.626 0.124 0.750 W
0.873 0.873 0.250 W
0.124 0.626 0.750 W
0.876 0.374 0.250 W
0.127 0.127 0.750 W
0.374 0.876 0.250 W
```

* distance to the lowest polymorph of the same formula: 11 kJ/mol of formula units
* energy of formation from the pure elements: 18.4 kJ/mol of formula units
* symmetry: Cmcm (63)

=====

Record 12
# PaTlO4

A relaxed PaTlO4 crystal (PBE, Alexandria).

Structure (POSCAR):
```
PaTlO4
1.0
-1.244 -1.480 -3.328
2.371 -2.999 0.448
-3.902 -2.689 2.654
O Pa Tl
4 1 1
Direct
0.500 0.000 0.264 O
0.000 0.500 0.264 O
0.000 0.500 0.736 O
0.500 0.000 0.736 O
0.500 0.500 0.500 Pa
0.000 0.000 0.000 Tl
```

* distance to the lowest polymorph of the same formula: 0 kJ/mol of formula units
* symmetry: P4/mmm (123)
* formation energy (no corrections): -2.289 eV per atom

=====

The evaluated total magnetic moment for the records listed, in turn: 0.787 0.000 0.000 0.000 0.000 0.000 0.102 0.049 0.000 0.322 0.000 0.000 μB per atom.